# 1
Ca2TiGa: relaxed, PBE.

Output
**SG**: I-42d
**Energy of formation**: 0.38 eV per atom
**Crystal system**: tetragonal
**Spin magnetization**: 5.9 μB/cell

Lattice parameters (Å, degrees): 8.461 8.461 6.707 50.89 50.89 90.00
Last column: magnetic moment on the atom in μB.
Fractional coordinates of all 8 atoms:
Ca (0.656, 0.125, 0.250)  0.10
Ca (0.094, 0.625, 0.250)  0.10
Ca (0.375, 0.344, 0.750)  0.09
Ca (0.875, 0.906, 0.750)  0.10
Ti (0.500, 0.500, 0.000)  1.75
Ti (0.250, 0.750, 0.500)  1.74
Ga (0.000, 0.000, 0.000)  -0.04
Ga (0.750, 0.250, 0.500)  -0.04

---

# 2
CaTi3Ga: relaxed, PBE.

Output
**SG**: Pm-3m
**Energy of formation**: 0.54 eV per atom
**Crystal system**: cubic
**Spin magnetization**: 2.5 μB/cell
**Distance to the lowest polymorph of the same formula**: 0 meV/atom

Lattice parameters (Å, degrees): 4.909 4.909 4.909 90.00 90.00 90.00
Last column: magnetic moment on the atom in μB.
Fractional coordinates of all 5 atoms:
Ti (0.500, 0.000, 0.000)  0.49
Ti (0.000, 0.500, 0.000)  0.52
Ti (0.000, 0.000, 0.500)  0.66
Ga (0.000, 0.000, 0.000)  0.02
Ca (0.500, 0.500, 0.500)  0.04